# 1
The following is a DFT calculation (PBE-GGA) of crystalline HoNiSn at its relaxed geometry.

Values from the calculation:
D(E_F), states/eV per atom: 0.75
Calculated total energy, eV per atom: -5.1671

Cell lengths 3.3146, 3.3146, 11.0645 Å; angles 90.00, 90.00, 90.00 degrees
Closest atoms and distances in Å follow each position.
Space group I4mm (No. 107)
Inequivalent atoms, fractional coordinates:
1 Ho 0.0000 0.0000 0.0000 [2 per cell]  4 Ni 2.94, 1 Sn 3.19
2 Ni 0.0000 0.0000 0.3397 [2 per cell]  4 Sn 2.74, 4 Ho 2.94
3 Sn 0.0000 0.0000 0.7116 [2 per cell]  4 Ni 2.74

---

# 2
The following is a DFT calculation (PBE-GGA) of crystalline BaRe2Si at its relaxed geometry.

Values from the calculation:
D(E_F), states/eV per atom: 0.78
Energy relative to the elements, uncorrected, meV/atom: 615
Calculated total energy, eV per atom: -7.4454

Cell lengths 3.2027, 3.2027, 7.8805 Å; angles 90.00, 90.00, 90.00 degrees
Closest atoms and distances in Å follow each position.
Space group P4/mmm (No. 123)
Inequivalent atoms, fractional coordinates:
1 Ba 0.0000 0.0000 0.0000 [1 per cell]  4 Ba 3.20, 8 Re 3.54
2 Re 0.5000 0.5000 0.3460 [2 per cell]  1 Re 2.43, 4 Si 2.57
3 Si 0.0000 0.0000 0.5000 [1 per cell]  8 Re 2.57

---

# 3
The following is a DFT calculation (PBE-GGA) of crystalline NaAg2HgI6 at its relaxed geometry.

Values from the calculation:
D(E_F), states/eV per atom: 0.32
Energy relative to the elements, uncorrected, meV/atom: -369
Calculated total energy, eV per atom: -2.0310

Cell lengths 16.0007, 15.2552, 8.2048 Å; angles 90.00, 117.24, 90.00 degrees
Closest atoms and distances in Å follow each position.
Space group C2/c (No. 15)
Inequivalent atoms, fractional coordinates:
1 Na 0.0000 0.1055 0.2500 [4 per cell]  6 I 3.18-3.43
2 Ag 0.1882 0.4225 0.2212 [8 per cell]  4 I 2.77-2.97
3 Hg 0.0000 0.1948 0.7500 [4 per cell]  4 I 2.76-3.05
4 I 0.1036 0.4500 0.4454 [8 per cell]  2 Ag 2.77-2.82
5 I 0.1183 0.2415 0.1082 [8 per cell]  1 Hg 2.76, 1 Ag 2.97
6 I 0.1208 0.0625 0.6743 [8 per cell]  1 Ag 2.78, 1 Hg 3.05

---

# 4
The following is a DFT calculation (PBE-GGA) of crystalline La2Si3Pt4Au at its relaxed geometry.

Values from the calculation:
D(E_F), states/eV per atom: 0.47
Energy relative to the elements, uncorrected, meV/atom: -980
Calculated total energy, eV per atom: -6.3367

Cell lengths 4.3412, 4.3412, 10.2585 Å; angles 90.00, 90.00, 90.00 degrees
Closest atoms and distances in Å follow each position.
Space group P-4m2 (No. 115)
Inequivalent atoms, fractional coordinates:
1 La 0.0000 0.5000 0.2447 [2 per cell]  8 Pt 3.21-3.40, 2 Au 3.32, 6 Si 3.32-3.37
2 Si 0.0000 0.0000 0.0000 [1 per cell]  4 Pt 2.67
3 Si 0.0000 0.5000 0.6193 [2 per cell]  5 Pt 2.35-2.49
4 Pt 0.0000 0.0000 0.5000 [1 per cell]  4 Si 2.49
5 Pt 0.0000 0.5000 0.8484 [2 per cell]  1 Si 2.35
6 Pt 0.5000 0.5000 0.5000 [1 per cell]  4 Si 2.49
7 Au 0.5000 0.5000 0.0000 [1 per cell]  4 Pt 2.67

---

D(E_F) of number 1 (HoNiSn)? 0.75 states/eV per atom

---

What did the second record say?
The following is a DFT calculation (PBE-GGA) of crystalline BaRe2Si at its relaxed geometry.

Values from the calculation:
D(E_F), states/eV per atom: 0.78
Energy relative to the elements, uncorrected, meV/atom: 615
Calculated total energy, eV per atom: -7.4454

Cell lengths 3.2027, 3.2027, 7.8805 Å; angles 90.00, 90.00, 90.00 degrees
Closest atoms and distances in Å follow each position.
Space group P4/mmm (No. 123)
Inequivalent atoms, fractional coordinates:
1 Ba 0.0000 0.0000 0.0000 [1 per cell]  4 Ba 3.20, 8 Re 3.54
2 Re 0.5000 0.5000 0.3460 [2 per cell]  1 Re 2.43, 4 Si 2.57
3 Si 0.0000 0.0000 0.5000 [1 per cell]  8 Re 2.57

---

D(E_F) of number 2 (BaRe2Si)? 0.78 states/eV per atom